The following is a GGA+U calculation of an optimized crystal structure of CoHO2, from OQMD.

Output
* symmetry: C2/m
* calculated total energy: -0.1991 hartree per atom
* spin magnetization: 6.0 Bohr magnetons per cell

a = 3.1199 Å, b = 3.1199 Å, c = 8.1503 Å
α = 99.97°, β = 99.97°, γ = 58.96°
Closest atoms and distances in Å follow each position.
Element x y z (fractional)
Co (0.0914, 0.0914, 0.2805)  6 O 2.04-2.12
Co (0.9086, 0.9086, 0.7195)  6 O 2.04-2.12
H (0.6720, 0.6720, 0.0233)  1 O 0.98
H (0.3280, 0.3280, 0.9767)  1 O 0.98
O (0.7156, 0.7156, 0.1455)  1 H 0.98
O (0.4670, 0.4670, 0.4070)  1 O 1.49
O (0.5330, 0.5330, 0.5930)  1 O 1.49
O (0.2844, 0.2844, 0.8545)  1 H 0.98